Below is an optimized crystal structure of Cs2NaAgO, with properties calculated at the PBE level.

The energy relative to the elements, uncorrected comes out at -0.563 eV/atom.

CIF file:
```
data_Cs2NaAgO
_cell_length_a 6.214
_cell_length_b 6.214
_cell_length_c 4.520
_cell_angle_alpha 90.00
_cell_angle_beta 90.00
_cell_angle_gamma 90.00
_space_group_name_H-M_alt 'P 1'
_space_group_IT_number 1
_space_group_name_Hall 'P 1'
loop_
_atom_site_label
_atom_site_fract_x
_atom_site_fract_y
_atom_site_fract_z
Ag1 0.500 0.500 0.500
Cs1 0.500 0.000 0.000
Cs2 0.000 0.500 0.000
Na1 0.000 0.000 0.500
O1 0.000 0.000 0.000
```

Below is an optimized crystal structure of Li2AgIrW, with properties calculated at the PBE level.

Its total DFT energy (no corrections) is -4.55 eV per atom.

CIF file:
```
data_Li2AgIrW
_cell_length_a 4.026
_cell_length_b 5.151
_cell_length_c 4.026
_cell_angle_alpha 90.00
_cell_angle_beta 90.00
_cell_angle_gamma 90.00
_space_group_name_H-M_alt 'P 1'
_space_group_IT_number 1
_space_group_name_Hall 'P 1'
loop_
_atom_site_label
_atom_site_fract_x
_atom_site_fract_y
_atom_site_fract_z
Ag1 0.000 0.000 0.000
Li1 0.500 0.000 0.000
Ir1 0.000 0.500 0.000
Li2 0.000 0.000 0.500
W1 0.500 0.500 0.500
```